Here is an optimized crystal structure of Zr2Ti2Os from Alexandria via LeMat-Bulk. Energies are from PBE.

a = 6.424 Å, b = 6.424 Å, c = 4.714 Å
α = 90.00°, β = 90.00°, γ = 90.00°
Atoms (fractional coordinates):
Os 0.000 0.000 0.000
Os 0.500 0.500 0.000
Zr 0.164 0.664 0.500
Zr 0.664 0.836 0.500
Zr 0.836 0.336 0.500
Zr 0.336 0.164 0.500
Ti 0.350 0.850 0.000
Ti 0.850 0.650 0.000
Ti 0.650 0.150 0.000
Ti 0.150 0.350 0.000

Results
SG = P4/mbm
magnetization = 0.00 Bohr magnetons per cell
electronic total energy = -44.602 eV/f.u.